Entry 1:
Below is a relaxed structure of Cs2MnF6, with properties calculated at the GGA+U level.

```
data_Cs2MnF6
_chemical_formula_sum 'Cs8 Mn4 F24'
_symmetry_space_group_name_H-M 'F m -3 m'
_symmetry_Int_Tables_number 225
_symmetry_space_group_name_Hall '-F 4 2 3'
_cell_length_a 9.122
_cell_length_b 9.122
_cell_length_c 9.122
_cell_angle_alpha 90.00
_cell_angle_beta 90.00
_cell_angle_gamma 90.00
loop_
_atom_site_label
_atom_site_fract_x
_atom_site_fract_y
_atom_site_fract_z
Cs1 0.250 0.250 0.250
Mn1 0.000 0.000 0.000
F1 0.000 0.000 0.203
```



Entry 2:
Below is a relaxed structure of Cs3Mn2F6, with properties calculated at the GGA+U level.

```
data_Cs3Mn2F6
_chemical_formula_sum 'Cs6 Mn4 F12'
_symmetry_space_group_name_H-M 'I 4/m m m'
_symmetry_Int_Tables_number 139
_symmetry_space_group_name_Hall '-I 4 2'
_cell_length_a 4.371
_cell_length_b 4.371
_cell_length_c 24.350
_cell_angle_alpha 90.00
_cell_angle_beta 90.00
_cell_angle_gamma 90.00
loop_
_atom_site_label
_atom_site_fract_x
_atom_site_fract_y
_atom_site_fract_z
Cs1 0.000 0.000 0.000
Cs2 0.000 0.000 0.187
Mn1 0.000 0.000 0.404
F1 0.000 0.000 0.316
F2 0.000 0.500 0.095
```



| no. | final energy (eV per atom) |
| --- | --- |
| 1 | -4.898 |
| 2 | -5.067 |